Record 1
# KPmIr (PBE-GGA, optimized geometry)
data_KPmIr
_cell_length_a 4.974
_cell_length_b 4.974
_cell_length_c 4.974
_cell_angle_alpha 60.00
_cell_angle_beta 60.00
_cell_angle_gamma 60.00
_space_group_name_H-M_alt 'P 1'
_space_group_IT_number 1
loop_
_space_group_symop_operation_xyz
'x,y,z'
loop_
_atom_site_label
_atom_site_type_symbol
_atom_site_fract_x
_atom_site_fract_y
_atom_site_fract_z
Ir1 Ir 0.000 0.000 0.000
Pm1 Pm 0.250 0.250 0.250
K1 K 0.750 0.750 0.750
# Distance to the lowest polymorph of the same formula in meV per atom: 0
# Total magnetic moment in μB/atom: 0.012
# Final energy in eV/cell: -13.9
# ρ in g/cm3: 7.18
# Volume in Å³ per atom: 29.0


Record 2
# CsTbNiSe3 (PBE-GGA, optimized geometry)
data_CsTbNiSe3
_cell_length_a 10.923
_cell_length_b 4.142
_cell_length_c 15.732
_cell_angle_alpha 90.00
_cell_angle_beta 90.00
_cell_angle_gamma 90.00
_space_group_name_H-M_alt 'P 1'
_space_group_IT_number 1
loop_
_space_group_symop_operation_xyz
'x,y,z'
loop_
_atom_site_label
_atom_site_type_symbol
_atom_site_fract_x
_atom_site_fract_y
_atom_site_fract_z
Se1 Se 0.423 0.750 0.131
Se2 Se 0.558 0.750 0.366
Se3 Se 0.058 0.750 0.134
Se4 Se 0.758 0.750 0.700
Se5 Se 0.742 0.250 0.200
Se6 Se 0.258 0.750 0.800
Se7 Se 0.923 0.750 0.369
Se8 Se 0.242 0.250 0.300
Se9 Se 0.942 0.250 0.866
Se10 Se 0.077 0.250 0.631
Se11 Se 0.577 0.250 0.869
Se12 Se 0.442 0.250 0.634
Tb1 Tb 0.009 0.750 0.748
Tb2 Tb 0.509 0.750 0.752
Tb3 Tb 0.991 0.250 0.252
Tb4 Tb 0.491 0.250 0.248
Cs1 Cs 0.758 0.750 0.009
Cs2 Cs 0.242 0.250 0.991
Cs3 Cs 0.742 0.250 0.509
Cs4 Cs 0.258 0.750 0.491
Ni1 Ni 0.758 0.250 0.783
Ni2 Ni 0.242 0.750 0.217
Ni3 Ni 0.742 0.750 0.283
Ni4 Ni 0.258 0.250 0.717
# Distance to the lowest polymorph of the same formula in meV per atom: 18
# Total magnetic moment in μB/atom: 0.309
# Final energy in eV/cell: -114.5
# ρ in g/cm3: 5.48
# Volume in Å³ per atom: 29.7


Record 3
# HfScSbC (PBE-GGA, optimized geometry)
data_HfScSbC
_cell_length_a 3.399
_cell_length_b 3.399
_cell_length_c 14.154
_cell_angle_alpha 90.00
_cell_angle_beta 90.00
_cell_angle_gamma 120.00
_space_group_name_H-M_alt 'P 1'
_space_group_IT_number 1
loop_
_space_group_symop_operation_xyz
'x,y,z'
loop_
_atom_site_label
_atom_site_type_symbol
_atom_site_fract_x
_atom_site_fract_y
_atom_site_fract_z
Hf1 Hf 0.333 0.667 0.585
Hf2 Hf 0.667 0.333 0.085
Sb1 Sb 0.667 0.333 0.749
Sb2 Sb 0.333 0.667 0.249
Sc1 Sc 0.667 0.333 0.414
Sc2 Sc 0.333 0.667 0.914
C1 C 0.000 0.000 0.503
C2 C 0.000 0.000 0.003
# Distance to the lowest polymorph of the same formula in meV per atom: 0
# Total magnetic moment in μB/atom: 0.001
# Final energy in eV/cell: -65.4
# ρ in g/cm3: 8.38
# Volume in Å³ per atom: 17.7


Record 4
# AcLaNp (PBE-GGA, optimized geometry)
data_AcLaNp
_cell_length_a 5.418
_cell_length_b 5.418
_cell_length_c 5.418
_cell_angle_alpha 60.00
_cell_angle_beta 60.00
_cell_angle_gamma 60.00
_space_group_name_H-M_alt 'P 1'
_space_group_IT_number 1
loop_
_space_group_symop_operation_xyz
'x,y,z'
loop_
_atom_site_label
_atom_site_type_symbol
_atom_site_fract_x
_atom_site_fract_y
_atom_site_fract_z
Ac1 Ac 0.250 0.250 0.250
Np1 Np 0.750 0.750 0.750
La1 La 0.000 0.000 0.000
# Distance to the lowest polymorph of the same formula in meV per atom: 0
# Total magnetic moment in μB/atom: 1.780
# Final energy in eV/cell: -18.6
# Calculated formation energy in eV per atom: 1.07
# ρ in g/cm3: 8.90
# Volume in Å³ per atom: 37.5


Record 5
# SrBeCd (PBE-GGA, optimized geometry)
data_SrBeCd
_cell_length_a 5.115
_cell_length_b 5.115
_cell_length_c 5.115
_cell_angle_alpha 60.00
_cell_angle_beta 60.00
_cell_angle_gamma 60.00
_space_group_name_H-M_alt 'P 1'
_space_group_IT_number 1
loop_
_space_group_symop_operation_xyz
'x,y,z'
loop_
_atom_site_label
_atom_site_type_symbol
_atom_site_fract_x
_atom_site_fract_y
_atom_site_fract_z
Cd1 Cd 0.750 0.750 0.750
Sr1 Sr 0.000 0.000 0.000
Be1 Be 0.250 0.250 0.250
# Final energy in eV/cell: -4.0
# ρ in g/cm3: 3.67
# Volume in Å³ per atom: 31.5


Record 6
# RbBeFeTc (PBE-GGA, optimized geometry)
data_RbBeFeTc
_cell_length_a 4.622
_cell_length_b 4.622
_cell_length_c 4.622
_cell_angle_alpha 60.00
_cell_angle_beta 60.00
_cell_angle_gamma 60.00
_space_group_name_H-M_alt 'P 1'
_space_group_IT_number 1
loop_
_space_group_symop_operation_xyz
'x,y,z'
loop_
_atom_site_label
_atom_site_type_symbol
_atom_site_fract_x
_atom_site_fract_y
_atom_site_fract_z
Tc1 Tc 0.000 0.000 0.000
Rb1 Rb 0.500 0.500 0.500
Be1 Be 0.750 0.750 0.750
Fe1 Fe 0.250 0.250 0.250
# Distance to the lowest polymorph of the same formula in meV per atom: 0
# Total magnetic moment in μB/atom: 1.057
# Final energy in eV/cell: -16.8
# ρ in g/cm3: 5.91
# Volume in Å³ per atom: 17.5